a.
Entry from Alexandria via LeMat-Bulk: a relaxed AcNdN crystal (PBE).

Calculated values
ρ: 7.822 g cm⁻³
calculated volume: 27.263 A^3/atom
spin magnetization: 0.53 Bohr magnetons per cell

Unit cell a=3.7545 b=3.7545 c=6.6997 alpha=90.00 beta=90.00 gamma=120.00
Atoms (fractional coordinates):
Ac: 0.0000 0.0000 0.0000
Nd: 0.6667 0.3333 0.5708
N: 0.3333 0.6667 0.7596

b.
Entry from Alexandria via LeMat-Bulk: a relaxed AcNdN crystal (PBE).

Calculated values
ρ: 6.929 g cm⁻³
calculated volume: 30.777 A^3/atom
spin magnetization: 0.00 Bohr magnetons per cell

Unit cell a=7.5194 b=7.5194 c=7.5194 alpha=152.20 beta=152.20 gamma=39.73
Atoms (fractional coordinates):
Ac: 0.0000 0.0000 0.0000
Nd: 0.2928 0.2928 0.0000
N: 0.4509 0.4509 0.0000

c.
Entry from Alexandria via LeMat-Bulk: a relaxed AcNdN crystal (PBE).

Calculated values
ρ: 9.286 g cm⁻³
calculated volume: 22.962 A^3/atom
spin magnetization: 0.00 Bohr magnetons per cell

Unit cell a=4.6013 b=4.6013 c=4.6013 alpha=60.00 beta=60.00 gamma=60.00
Atoms (fractional coordinates):
Ac: 0.0000 0.0000 0.0000
Nd: 0.5000 0.5000 0.5000
N: 0.7500 0.7500 0.7500

Which structure is most stable, and how do the rest compare? From most to least stable: a, b, c.

a.
Entry from Alexandria via LeMat-Bulk: a relaxed AcNpN crystal (PBE).

Calculated values
ρ: 10.170 g cm⁻³
calculated volume: 26.017 A^3/atom
spin magnetization: 3.61 Bohr magnetons per cell

Unit cell a=7.4253 b=7.4253 c=7.4253 alpha=154.09 beta=154.09 gamma=36.97
Atoms (fractional coordinates):
Ac: 0.0000 0.0000 0.0000
Np: 0.2831 0.2831 0.0000
N: 0.8135 0.8135 0.0000

b.
Entry from Alexandria via LeMat-Bulk: a relaxed AcNpN crystal (PBE).

Calculated values
ρ: 11.011 g cm⁻³
calculated volume: 24.029 A^3/atom
spin magnetization: 0.57 Bohr magnetons per cell

Unit cell a=4.7353 b=3.3937 c=8.9724 alpha=90.00 beta=90.78 gamma=90.00
Atoms (fractional coordinates):
Ac: 0.2125 0.2500 0.3047
Ac: 0.7875 0.7500 0.6953
Np: 0.3252 0.7500 0.9637
Np: 0.6748 0.2500 0.0363
N: 0.0255 0.2500 0.8712
N: 0.9745 0.7500 0.1288

Which structure is most stable, and how do the rest compare? From most to least stable: b, a.

a.
Entry from Alexandria via LeMat-Bulk: a relaxed Ac2NO crystal (PBE).

Calculated values
ρ: 9.844 g cm⁻³
calculated volume: 20.412 A^3/atom
spin magnetization: 0.52 Bohr magnetons per cell

Unit cell a=6.9875 b=6.9875 c=6.9875 alpha=31.28 beta=31.28 gamma=31.28
Atoms (fractional coordinates):
Ac: 0.0000 0.0000 0.0000
Ac: 0.1763 0.1763 0.1763
N: 0.5905 0.5905 0.5905
O: 0.4193 0.4193 0.4193

b.
Entry from Alexandria via LeMat-Bulk: a relaxed Ac2NO crystal (PBE).

Calculated values
ρ: 11.275 g cm⁻³
calculated volume: 17.821 A^3/atom
spin magnetization: 0.00 Bohr magnetons per cell

Unit cell a=4.6541 b=4.6541 c=4.6541 alpha=60.00 beta=60.00 gamma=60.00
Atoms (fractional coordinates):
Ac: 0.2500 0.2500 0.2500
Ac: 0.7500 0.7500 0.7500
N: 0.0000 0.0000 0.0000
O: 0.5000 0.5000 0.5000

Which structure is most stable, and how do the rest compare? From most to least stable: a, b.

a.
Entry from Alexandria via LeMat-Bulk: a relaxed Ac2NO crystal (PBE).

Calculated values
ρ: 9.929 g cm⁻³
calculated volume: 20.237 A^3/atom
spin magnetization: 0.00 Bohr magnetons per cell

Unit cell a=6.6903 b=6.6903 c=6.6903 alpha=33.43 beta=33.43 gamma=33.43
Atoms (fractional coordinates):
Ac: 0.2481 0.2481 0.2481
Ac: 0.7519 0.7519 0.7519
N: 0.5000 0.5000 0.5000
O: 0.0000 0.0000 0.0000

b.
Entry from Alexandria via LeMat-Bulk: a relaxed Ac2NO crystal (PBE).

Calculated values
ρ: 11.255 g cm⁻³
calculated volume: 17.852 A^3/atom
spin magnetization: 0.00 Bohr magnetons per cell

Unit cell a=4.6495 b=4.6495 c=3.3032 alpha=90.00 beta=90.00 gamma=90.00
Atoms (fractional coordinates):
Ac: 0.0000 0.5000 0.0000
Ac: 0.5000 0.0000 0.0000
N: 0.0000 0.0000 0.5000
O: 0.5000 0.5000 0.5000

c.
Entry from Alexandria via LeMat-Bulk: a relaxed Ac2NO crystal (PBE).

Calculated values
ρ: 9.992 g cm⁻³
calculated volume: 20.110 A^3/atom
spin magnetization: 0.00 Bohr magnetons per cell

Unit cell a=6.4963 b=6.5478 c=3.7821 alpha=90.00 beta=90.00 gamma=90.00
Atoms (fractional coordinates):
Ac: 0.2434 0.1658 0.0000
Ac: 0.2566 0.6658 0.5000
Ac: 0.7434 0.3342 0.5000
Ac: 0.7566 0.8342 0.0000
N: 0.0000 0.0000 0.5000
N: 0.5000 0.5000 0.0000
O: 0.0000 0.5000 0.0000
O: 0.5000 0.0000 0.5000

Which structure is most stable, and how do the rest compare? From most to least stable: a, c, b.

a.
Entry from Alexandria via LeMat-Bulk: a relaxed Ac2OsN4 crystal (PBE).

Calculated values
ρ: 9.031 g cm⁻³
calculated volume: 18.395 A^3/atom
spin magnetization: 0.00 Bohr magnetons per cell

Unit cell a=6.2998 b=5.7706 c=7.2954 alpha=90.00 beta=103.83 gamma=90.00
Atoms (fractional coordinates):
Ac: 0.2054 0.2500 0.0321
Ac: 0.2387 0.2500 0.5468
Ac: 0.7613 0.7500 0.4532
Ac: 0.7946 0.7500 0.9679
Os: 0.2580 0.7500 0.7987
Os: 0.7420 0.2500 0.2013
N: 0.0156 0.5271 0.7419
N: 0.0156 0.9729 0.7419
N: 0.3893 0.7500 0.0438
N: 0.4375 0.7500 0.6385
N: 0.5625 0.2500 0.3615
N: 0.6107 0.2500 0.9562
N: 0.9844 0.0271 0.2581
N: 0.9844 0.4729 0.2581

b.
Entry from Alexandria via LeMat-Bulk: a relaxed Ac2OsN4 crystal (PBE).

Calculated values
ρ: 9.547 g cm⁻³
calculated volume: 17.400 A^3/atom
spin magnetization: 0.00 Bohr magnetons per cell

Unit cell a=5.6193 b=5.9643 c=7.5676 alpha=90.00 beta=106.17 gamma=90.00
Atoms (fractional coordinates):
Ac: 0.1174 0.2500 0.1263
Ac: 0.2161 0.7500 0.4950
Ac: 0.7839 0.2500 0.5050
Ac: 0.8826 0.7500 0.8737
Os: 0.3719 0.2500 0.7440
Os: 0.6281 0.7500 0.2560
N: 0.1798 0.0104 0.7812
N: 0.1798 0.4896 0.7812
N: 0.2910 0.7500 0.1625
N: 0.2978 0.2500 0.4783
N: 0.7022 0.7500 0.5217
N: 0.7090 0.2500 0.8375
N: 0.8202 0.5104 0.2188
N: 0.8202 0.9896 0.2188

Which structure is most stable, and how do the rest compare? From most to least stable: a, b.

a.
Entry from Alexandria via LeMat-Bulk: a relaxed Ac6OsN2 crystal (PBE).

Calculated values
ρ: 7.531 g cm⁻³
calculated volume: 38.713 A^3/atom
spin magnetization: 0.00 Bohr magnetons per cell

Unit cell a=8.2228 b=8.2228 c=10.4342 alpha=98.46 beta=98.46 gamma=29.98
Atoms (fractional coordinates):
Ac: 0.0532 0.0532 0.2946
Ac: 0.2242 0.2242 0.6378
Ac: 0.3797 0.3797 0.0211
Ac: 0.6203 0.6203 0.9789
Ac: 0.7758 0.7758 0.3622
Ac: 0.9468 0.9468 0.7054
Os: 0.0000 0.0000 0.0000
N: 0.1987 0.1987 0.4004
N: 0.8013 0.8013 0.5996

b.
Entry from Alexandria via LeMat-Bulk: a relaxed Ac6OsN2 crystal (PBE).

Calculated values
ρ: 8.198 g cm⁻³
calculated volume: 35.564 A^3/atom
spin magnetization: 0.00 Bohr magnetons per cell

Unit cell a=9.4227 b=9.4227 c=7.4023 alpha=98.56 beta=98.56 gamma=83.78
Atoms (fractional coordinates):
Ac: 0.0449 0.2007 0.1244
Ac: 0.1391 0.6104 0.3717
Ac: 0.2007 0.0449 0.6244
Ac: 0.2879 0.4353 0.8832
Ac: 0.3896 0.8609 0.1283
Ac: 0.4353 0.2879 0.3832
Ac: 0.5647 0.7121 0.6168
Ac: 0.6104 0.1391 0.8717
Ac: 0.7121 0.5647 0.1168
Ac: 0.7993 0.9551 0.3756
Ac: 0.8609 0.3896 0.6283
Ac: 0.9551 0.7993 0.8756
Os: 0.1063 0.8937 0.2500
Os: 0.8937 0.1063 0.7500
N: 0.2306 0.3915 0.1802
N: 0.3915 0.2306 0.6802
N: 0.6085 0.7694 0.3198
N: 0.7694 0.6085 0.8198

Which structure is most stable, and how do the rest compare? From most to least stable: a, b.

a.
Entry from Alexandria via LeMat-Bulk: a relaxed Ac2P2N5 crystal (PBE).

Calculated values
ρ: 8.013 g cm⁻³
calculated volume: 13.493 A^3/atom
spin magnetization: 0.00 Bohr magnetons per cell

Unit cell a=5.5099 b=5.5099 c=6.3697 alpha=100.77 beta=100.77 gamma=39.85
Atoms (fractional coordinates):
Ac: 0.0899 0.0899 0.3147
Ac: 0.9101 0.9101 0.6853
P: 0.3448 0.3448 0.0910
P: 0.6552 0.6552 0.9090
N: 0.1768 0.1768 0.9751
N: 0.3707 0.3707 0.3539
N: 0.5000 0.5000 0.0000
N: 0.6293 0.6293 0.6461
N: 0.8232 0.8232 0.0249

b.
Entry from Alexandria via LeMat-Bulk: a relaxed Ac2P2N5 crystal (PBE).

Calculated values
ρ: 6.432 g cm⁻³
calculated volume: 16.810 A^3/atom
spin magnetization: 0.00 Bohr magnetons per cell

Unit cell a=4.1950 b=5.8792 c=6.8640 alpha=64.80 beta=81.83 gamma=89.98
Atoms (fractional coordinates):
Ac: 0.2274 0.1671 0.1669
Ac: 0.7726 0.8329 0.8331
P: 0.2688 0.4203 0.6587
P: 0.7312 0.5797 0.3413
N: 0.0000 0.5000 0.5000
N: 0.2933 0.1227 0.7943
N: 0.2934 0.5815 0.7955
N: 0.7066 0.4185 0.2045
N: 0.7067 0.8773 0.2057

Which structure is most stable, and how do the rest compare? From most to least stable: b, a.

a.
Entry from Alexandria via LeMat-Bulk: a relaxed AcPaN2 crystal (PBE).

Calculated values
ρ: 11.057 g cm⁻³
calculated volume: 18.248 A^3/atom
spin magnetization: 0.00 Bohr magnetons per cell

Unit cell a=6.7789 b=6.7789 c=6.7789 alpha=30.93 beta=30.93 gamma=30.93
Atoms (fractional coordinates):
Ac: 0.0000 0.0000 0.0000
Pa: 0.1778 0.1778 0.1778
N: 0.5712 0.5712 0.5712
N: 0.7855 0.7855 0.7855

b.
Entry from Alexandria via LeMat-Bulk: a relaxed AcPaN2 crystal (PBE).

Calculated values
ρ: 11.423 g cm⁻³
calculated volume: 17.664 A^3/atom
spin magnetization: 0.00 Bohr magnetons per cell

Unit cell a=6.4821 b=6.4821 c=6.4821 alpha=32.69 beta=32.69 gamma=32.69
Atoms (fractional coordinates):
Ac: 0.0000 0.0000 0.0000
Pa: 0.5000 0.5000 0.5000
N: 0.2279 0.2279 0.2279
N: 0.7721 0.7721 0.7721

Which structure is most stable, and how do the rest compare? From most to least stable: b, a.

a.
Entry from Alexandria via LeMat-Bulk: a relaxed AcPrN2 crystal (PBE).

Calculated values
ρ: 8.444 g cm⁻³
calculated volume: 19.464 A^3/atom
spin magnetization: 0.00 Bohr magnetons per cell

Unit cell a=6.6079 b=6.6079 c=6.6079 alpha=33.40 beta=33.40 gamma=33.40
Atoms (fractional coordinates):
Ac: 0.0000 0.0000 0.0000
Pr: 0.5000 0.5000 0.5000
N: 0.2464 0.2464 0.2464
N: 0.7536 0.7536 0.7536

b.
Entry from Alexandria via LeMat-Bulk: a relaxed AcPrN2 crystal (PBE).

Calculated values
ρ: 8.480 g cm⁻³
calculated volume: 19.382 A^3/atom
spin magnetization: 0.00 Bohr magnetons per cell

Unit cell a=6.8373 b=6.8373 c=6.8373 alpha=31.51 beta=31.51 gamma=31.51
Atoms (fractional coordinates):
Ac: 0.0000 0.0000 0.0000
Pr: 0.1695 0.1695 0.1695
N: 0.4340 0.4340 0.4340
N: 0.5956 0.5956 0.5956

c.
Entry from Alexandria via LeMat-Bulk: a relaxed AcPrN2 crystal (PBE).

Calculated values
ρ: 8.478 g cm⁻³
calculated volume: 19.386 A^3/atom
spin magnetization: 0.00 Bohr magnetons per cell

Unit cell a=3.7041 b=3.7041 c=6.5260 alpha=90.00 beta=90.00 gamma=120.00
Atoms (fractional coordinates):
Ac: 0.0000 0.0000 0.0000
Pr: 0.0000 0.0000 0.5000
N: 0.3333 0.6667 0.7408
N: 0.6667 0.3333 0.2592

Which structure is most stable, and how do the rest compare? From most to least stable: a, b, c.

a.
Entry from Alexandria via LeMat-Bulk: a relaxed Ac3PrN4 crystal (PBE).

Calculated values
ρ: 8.966 g cm⁻³
calculated volume: 20.325 A^3/atom
spin magnetization: 0.00 Bohr magnetons per cell

Unit cell a=5.4581 b=5.4581 c=5.4581 alpha=90.00 beta=90.00 gamma=90.00
Atoms (fractional coordinates):
Ac: 0.0000 0.0000 0.5000
Ac: 0.0000 0.5000 0.0000
Ac: 0.5000 0.0000 0.0000
Pr: 0.5000 0.5000 0.5000
N: 0.0000 0.0000 0.0000
N: 0.0000 0.5000 0.5000
N: 0.5000 0.0000 0.5000
N: 0.5000 0.5000 0.0000

b.
Entry from Alexandria via LeMat-Bulk: a relaxed Ac3PrN4 crystal (PBE).

Calculated values
ρ: 8.958 g cm⁻³
calculated volume: 20.342 A^3/atom
spin magnetization: 0.00 Bohr magnetons per cell

Unit cell a=6.6887 b=6.6887 c=3.8580 alpha=90.00 beta=90.00 gamma=109.46
Atoms (fractional coordinates):
Ac: 0.0000 0.0000 0.0000
Ac: 0.0000 0.5000 0.5000
Ac: 0.5000 0.0000 0.5000
Pr: 0.5000 0.5000 0.0000
N: 0.2545 0.7455 0.0000
N: 0.2563 0.2563 0.5000
N: 0.7437 0.7437 0.5000
N: 0.7455 0.2545 0.0000

Which structure is most stable, and how do the rest compare? From most to least stable: b, a.

a.
Entry from Alexandria via LeMat-Bulk: a relaxed Ac3PrN3 crystal (PBE).

Calculated values
ρ: 7.732 g cm⁻³
calculated volume: 26.505 A^3/atom
spin magnetization: 0.01 Bohr magnetons per cell

Unit cell a=8.6320 b=8.6320 c=5.7503 alpha=90.00 beta=90.00 gamma=120.00
Atoms (fractional coordinates):
Ac: 0.1652 0.8334 0.2500
Ac: 0.1666 0.3318 0.2500
Ac: 0.3318 0.1652 0.7500
Ac: 0.6682 0.8348 0.2500
Ac: 0.8334 0.6682 0.7500
Ac: 0.8348 0.1666 0.7500
Pr: 0.3333 0.6667 0.7500
Pr: 0.6667 0.3333 0.2500
N: 0.1691 0.8293 0.7500
N: 0.1707 0.3397 0.7500
N: 0.3397 0.1691 0.2500
N: 0.6603 0.8309 0.7500
N: 0.8293 0.6603 0.2500
N: 0.8309 0.1707 0.2500

b.
Entry from Alexandria via LeMat-Bulk: a relaxed Ac3PrN3 crystal (PBE).

Calculated values
ρ: 8.774 g cm⁻³
calculated volume: 23.358 A^3/atom
spin magnetization: 0.00 Bohr magnetons per cell

Unit cell a=7.6566 b=7.6566 c=5.5805 alpha=90.00 beta=90.00 gamma=91.63
Atoms (fractional coordinates):
Ac: 0.1163 0.8837 0.7500
Ac: 0.1283 0.3760 0.7500
Ac: 0.3760 0.1283 0.2500
Ac: 0.6240 0.8717 0.7500
Ac: 0.8717 0.6240 0.2500
Ac: 0.8837 0.1163 0.2500
Pr: 0.3550 0.6450 0.2500
Pr: 0.6450 0.3550 0.7500
N: 0.1253 0.8747 0.2500
N: 0.1314 0.3875 0.2500
N: 0.3875 0.1314 0.7500
N: 0.6125 0.8686 0.2500
N: 0.8686 0.6125 0.7500
N: 0.8747 0.1253 0.7500

Which structure is most stable, and how do the rest compare? From most to least stable: b, a.